This record from Alexandria via LeMat-Bulk describes a crystal of LiSiSb2Te relaxed with PBEsol. The functional is meta-GGA SCAN.

a = 4.8270 Å, b = 4.8270 Å, c = 5.1051 Å
α = 90.00°, β = 90.00°, γ = 90.00°
Last column: nearest neighbours and their distance in Å.
Space group P4/mmm (No. 123)
Inequivalent atoms, fractional coordinates:
Li 0.0000 0.0000 0.0000 x1  4 Sb 2.41, 2 Te 2.55
Si 0.5000 0.5000 0.5000 x1  4 Te 3.41, 8 Sb 3.51
Sb 0.0000 0.5000 0.0000 x2  2 Li 2.41
Te 0.0000 0.0000 0.5000 x1  2 Li 2.55

## Properties
raw formation energy: 0.684 eV per atom
distance to the lowest polymorph of the same formula: 0.267 eV per atom
theoretical density: 5.7 Mg/m³
crystal system: tetragonal


This record from Alexandria via LeMat-Bulk describes a crystal of LiSiSb2Te relaxed with PBEsol. The functional is meta-GGA SCAN.

a = 5.1631 Å, b = 5.1631 Å, c = 5.4172 Å
α = 90.00°, β = 90.00°, γ = 90.00°
Last column: nearest neighbours and their distance in Å.
Space group P4/mmm (No. 123)
Inequivalent atoms, fractional coordinates:
Li 0.0000 0.0000 0.0000 x1  4 Te 3.65, 8 Sb 3.74
Si 0.5000 0.5000 0.5000 x1  4 Sb 2.58, 2 Te 2.71
Sb 0.0000 0.5000 0.5000 x2  2 Si 2.58
Te 0.5000 0.5000 0.0000 x1  2 Si 2.71

## Properties
raw formation energy: 0.418 eV per atom
distance to the lowest polymorph of the same formula: 0.000 eV per atom
theoretical density: 4.7 Mg/m³
crystal system: tetragonal


This record from Alexandria via LeMat-Bulk describes a crystal of SrLiSb3 relaxed with PBEsol. The functional is meta-GGA SCAN.

a = 5.9150 Å, b = 5.9150 Å, c = 5.9150 Å
α = 90.00°, β = 90.00°, γ = 90.00°
Last column: nearest neighbours and their distance in Å.
Space group Pm-3m (No. 221)
Inequivalent atoms, fractional coordinates:
Sr 0.0000 0.0000 0.0000 x1  6 Sb 2.96
Li 0.5000 0.5000 0.5000 x1  12 Sb 4.18
Sb 0.0000 0.0000 0.5000 x3  2 Sr 2.96

## Properties
raw formation energy: 0.581 eV per atom
theoretical density: 3.7 Mg/m³
crystal system: cubic


This record from Alexandria via LeMat-Bulk describes a crystal of Sr2LiSb relaxed with PBEsol. The functional is meta-GGA SCAN.

a = 4.7182 Å, b = 4.6175 Å, c = 12.2774 Å
α = 90.00°, β = 90.00°, γ = 90.00°
Last column: nearest neighbours and their distance in Å.
Space group Amm2 (No. 38)
Inequivalent atoms, fractional coordinates:
Sr 0.0000 0.0000 0.0000 x2  4 Li 3.48, 3 Sb 3.50-3.51
Sr 0.5000 0.0000 0.2847 x2  2 Li 3.32, 4 Sb 3.41
Li 0.5000 0.0000 0.5906 x2  2 Sb 2.81
Sb 0.0000 0.0000 0.7150 x2  2 Li 2.81

## Properties
raw formation energy: -0.723 eV per atom
theoretical density: 3.8 Mg/m³
crystal system: orthorhombic


This record from Alexandria via LeMat-Bulk describes a crystal of Sr2LiSb relaxed with PBEsol. The functional is meta-GGA SCAN.

a = 4.6142 Å, b = 4.6142 Å, c = 23.6796 Å
α = 90.00°, β = 90.00°, γ = 120.00°
Last column: nearest neighbours and their distance in Å.
Space group R3m (No. 160, hexagonal axes)
Inequivalent atoms, fractional coordinates:
Sr 0.0000 0.0000 0.0000 x3  3 Sb 3.42, 3 Li 3.45
Sr 0.0000 0.0000 0.1839 x3  3 Li 3.43, 3 Sb 3.46
Li 0.0000 0.0000 0.7592 x3  3 Sb 2.66
Sb 0.0000 0.0000 0.4239 x3  3 Li 2.66

## Properties
raw formation energy: -0.722 eV per atom
theoretical density: 3.5 Mg/m³
crystal system: trigonal


This record from Alexandria via LeMat-Bulk describes a crystal of Sr2LiSb2 relaxed with PBEsol. The functional is meta-GGA SCAN.

a = 6.4506 Å, b = 6.4506 Å, c = 8.7566 Å
α = 90.00°, β = 90.00°, γ = 90.00°
Last column: nearest neighbours and their distance in Å.
Space group I4/mmm (No. 139)
Inequivalent atoms, fractional coordinates:
Sr 0.0000 0.5000 0.2500 x4  4 Sb 3.29
Li 0.0000 0.0000 0.0000 x2  2 Sb 2.83
Sb 0.0000 0.0000 0.3229 x4  1 Li 2.83, 1 Sb 3.10

## Properties
raw formation energy: -0.554 eV per atom
theoretical density: 3.9 Mg/m³
crystal system: tetragonal


This record from Alexandria via LeMat-Bulk describes a crystal of SrLi3Sb relaxed with PBEsol. The functional is meta-GGA SCAN.

a = 5.1958 Å, b = 5.1958 Å, c = 5.1958 Å
α = 90.00°, β = 90.00°, γ = 90.00°
Last column: nearest neighbours and their distance in Å.
Space group Pm-3m (No. 221)
Inequivalent atoms, fractional coordinates:
Sr 0.0000 0.0000 0.0000 x1  12 Li 3.67
Li 0.0000 0.5000 0.5000 x3  2 Sb 2.60
Sb 0.5000 0.5000 0.5000 x1  6 Li 2.60

## Properties
raw formation energy: -0.299 eV per atom
theoretical density: 2.7 Mg/m³
crystal system: cubic


This record from Alexandria via LeMat-Bulk describes a crystal of SrLi4Sb relaxed with PBEsol. The functional is meta-GGA SCAN.

a = 8.1273 Å, b = 8.1273 Å, c = 8.1273 Å
α = 90.00°, β = 90.00°, γ = 90.00°
Last column: nearest neighbours and their distance in Å.
Space group F-43m (No. 216)
Inequivalent atoms, fractional coordinates:
Sr 0.0000 0.0000 0.0000 x4  12 Li 3.37, 4 Sb 3.52
Li 0.1242 0.1242 0.6242 x16  6 Li 2.85-2.89
Sb 0.2500 0.2500 0.2500 x4  12 Li 3.37, 4 Sr 3.52

## Properties
raw formation energy: -0.273 eV per atom
theoretical density: 2.9 Mg/m³
crystal system: cubic


This record from Alexandria via LeMat-Bulk describes a crystal of SrLiSb2Te relaxed with PBEsol. The functional is meta-GGA SCAN.

a = 5.0365 Å, b = 5.0365 Å, c = 5.3732 Å
α = 90.00°, β = 90.00°, γ = 90.00°
Last column: nearest neighbours and their distance in Å.
Space group P4/mmm (No. 123)
Inequivalent atoms, fractional coordinates:
Sr 0.0000 0.0000 0.0000 x1  4 Te 3.56, 8 Sb 3.68
Li 0.5000 0.5000 0.5000 x1  4 Sb 2.52, 2 Te 2.69
Sb 0.0000 0.5000 0.5000 x2  2 Li 2.52
Te 0.5000 0.5000 0.0000 x1  2 Li 2.69

## Properties
raw formation energy: -0.404 eV per atom
theoretical density: 5.7 Mg/m³
crystal system: tetragonal


This record from Alexandria via LeMat-Bulk describes a crystal of LiTaSb2 relaxed with PBEsol. The functional is meta-GGA SCAN.

a = 2.9750 Å, b = 2.9750 Å, c = 9.9643 Å
α = 90.00°, β = 90.00°, γ = 90.00°
Last column: nearest neighbours and their distance in Å.
Space group P4mm (No. 99)
Inequivalent atoms, fractional coordinates:
Li 0.0000 0.0000 0.0000 x1  4 Sb 2.94, 4 Li 2.98, 4 Ta 3.05
Ta 0.5000 0.5000 0.7779 x1  4 Ta 2.98, 4 Sb 3.00, 4 Li 3.05
Sb 0.0000 0.0000 0.5631 x1  4 Sb 2.98, 4 Ta 3.00
Sb 0.5000 0.5000 0.2054 x1  4 Li 2.94, 4 Sb 2.98

## Properties
raw formation energy: 0.180 eV per atom
distance to the lowest polymorph of the same formula: 0.336 eV per atom
theoretical density: 8.1 Mg/m³
crystal system: tetragonal


This record from Alexandria via LeMat-Bulk describes a crystal of LiTaSb2 relaxed with PBEsol. The functional is meta-GGA SCAN.

a = 3.8064 Å, b = 3.8064 Å, c = 5.5619 Å
α = 90.00°, β = 90.00°, γ = 90.00°
Last column: nearest neighbours and their distance in Å.
Space group P4mm (No. 99)
Inequivalent atoms, fractional coordinates:
Li 0.0000 0.0000 0.0000 x1  6 Sb 2.68-2.89
Ta 0.5000 0.5000 0.6946 x1  6 Sb 2.64-2.92
Sb 0.0000 0.0000 0.5188 x1  2 Li 2.68-2.89, 4 Ta 2.86
Sb 0.5000 0.5000 0.1694 x1  2 Ta 2.64-2.92, 4 Li 2.85

## Properties
raw formation energy: -0.004 eV per atom
distance to the lowest polymorph of the same formula: 0.153 eV per atom
theoretical density: 8.9 Mg/m³
crystal system: tetragonal


This record from Alexandria via LeMat-Bulk describes a crystal of LiTaSb2 relaxed with PBEsol. The functional is meta-GGA SCAN.

a = 3.9302 Å, b = 4.9861 Å, c = 7.8535 Å
α = 90.00°, β = 90.00°, γ = 90.00°
Last column: nearest neighbours and their distance in Å.
Space group Immm (No. 71)
Inequivalent atoms, fractional coordinates:
Li 0.0000 0.0000 0.0000 x2  4 Sb 2.69
Ta 0.0000 0.0000 0.5000 x2  8 Sb 2.87-3.09, 4 Li 3.17
Sb 0.0000 0.5000 0.2665 x4  2 Li 2.69, 2 Ta 2.87

## Properties
raw formation energy: 0.063 eV per atom
distance to the lowest polymorph of the same formula: 0.219 eV per atom
theoretical density: 9.3 Mg/m³
crystal system: orthorhombic


This record from Alexandria via LeMat-Bulk describes a crystal of LiTaSb2 relaxed with PBEsol. The functional is meta-GGA SCAN.

a = 3.4182 Å, b = 3.4182 Å, c = 25.3023 Å
α = 90.00°, β = 90.00°, γ = 120.00°
Last column: nearest neighbours and their distance in Å.
Space group R-3m (No. 166, hexagonal axes)
Inequivalent atoms, fractional coordinates:
Li 0.0000 0.0000 0.0000 x3  6 Sb 2.96
Ta 0.0000 0.0000 0.5000 x3  6 Sb 2.81
Sb 0.0000 0.0000 0.2459 x6  3 Ta 2.81, 3 Li 2.96

## Properties
raw formation energy: -0.156 eV per atom
distance to the lowest polymorph of the same formula: 0.000 eV per atom
theoretical density: 8.4 Mg/m³
crystal system: trigonal


This record from Alexandria via LeMat-Bulk describes a crystal of LiTaSb4 relaxed with PBEsol. The functional is meta-GGA SCAN.

a = 8.4820 Å, b = 8.4820 Å, c = 8.4820 Å
α = 90.00°, β = 90.00°, γ = 90.00°
Last column: nearest neighbours and their distance in Å.
Space group F-43m (No. 216)
Inequivalent atoms, fractional coordinates:
Li 0.0000 0.0000 0.0000 x4  12 Sb 3.52, 4 Ta 3.67
Ta 0.2500 0.2500 0.7500 x4  12 Sb 3.51, 4 Li 3.67
Sb 0.1244 0.1244 0.3756 x16  6 Sb 2.98-3.01

## Properties
raw formation energy: 0.820 eV per atom
theoretical density: 7.3 Mg/m³
crystal system: cubic


This record from Alexandria via LeMat-Bulk describes a crystal of Li3SbTe relaxed with PBEsol. The functional is meta-GGA SCAN.

a = 5.0862 Å, b = 5.0862 Å, c = 5.0862 Å
α = 90.00°, β = 90.00°, γ = 90.00°
Last column: nearest neighbours and their distance in Å.
Space group Pm-3m (No. 221)
Inequivalent atoms, fractional coordinates:
Li 0.0000 0.0000 0.5000 x3  2 Te 2.54
Sb 0.5000 0.5000 0.5000 x1  12 Li 3.60
Te 0.0000 0.0000 0.0000 x1  6 Li 2.54

## Properties
raw formation energy: -0.364 eV per atom
distance to the lowest polymorph of the same formula: 0.000 eV per atom
theoretical density: 3.4 Mg/m³
crystal system: cubic